Below is crystalline K5CoO4 at its relaxed geometry, with properties calculated at the PBE with a Hubbard U level.

For the electronic total energy, the calculation gives -4.192 eV/atom. The energy above the most stable polymorph in this dataset comes out at 0 meV/atom. The volume is 406.3 Å³ per cell.

It has space group Pmmn (No. 59, origin choice 2), with a = 7.7475 Å, b = 8.2674 Å, c = 6.3434 Å, α = 90.00°, β = 90.00° and γ = 90.00°. The asymmetric unit holds K at (0.0096, 0.0586, 0.2375), K at (0.2500, 0.7500, 0.3416), Co at (0.2500, 0.2500, 0.7095), O at (0.0450, 0.2500, 0.8815) and O at (0.2500, 0.0568, 0.5376).